5
Lattice="5.198 0.000 0.000 0.000 5.198 0.000 0.000 0.000 5.471" Properties=species:S:1:pos:R:3 comment="PBE ZnMoP2Pb, relaxed" magmom_total_mub_per_cell=2.86 vol_a3_per_atom=29.6 spacegroup="No. 123" energy_ev_per_atom=-3.5000 pbc="T T T"
Zn 0.000 0.000 0.000
Mo 2.599 2.599 0.000
P 0.000 2.599 2.735
P 2.599 0.000 2.735
Pb 2.599 2.599 2.735

11
Lattice="6.399 -5.773 0.000 6.399 5.773 0.000 -0.276 0.000 6.913" Properties=species:S:1:pos:R:3 comment="PBE NpCo2I8, relaxed" raw_formation_energy_ev_per_atom=-0.348 magmom_total_mub_per_cell=3.00 vol_a3_per_atom=46.4 spacegroup="No. 12" pbc="T T T"
Np 0.000 0.000 0.000
Co 2.293 0.000 4.511
Co 10.228 0.000 2.402
I 5.046 3.637 1.632
I 2.385 0.000 1.910
I 7.475 3.637 5.281
I 4.653 0.000 5.245
I 7.868 0.000 1.668
I 5.046 -3.637 1.632
I 10.136 0.000 5.003
I 7.475 -3.637 5.281

5
Lattice="4.954 0.000 0.000 0.000 4.954 0.000 0.000 0.000 5.752" Properties=species:S:1:pos:R:3 comment="PBE BaCaMo2C, relaxed" magmom_total_mub_per_cell=0.00 vol_a3_per_atom=28.2 spacegroup="No. 123" energy_ev_per_atom=-3.4109 pbc="T T T"
Ba 0.000 0.000 0.000
Ca 0.000 0.000 2.876
Mo 0.000 2.477 0.000
Mo 2.477 0.000 0.000
C 2.477 2.477 2.876

10
Lattice="4.922 0.000 0.000 0.000 4.922 0.000 0.000 0.000 11.363" Properties=species:S:1:pos:R:3 comment="PBE Ba2SnHg3Au4, relaxed" magmom_total_mub_per_cell=0.00 vol_a3_per_atom=27.5 spacegroup="No. 115" energy_ev_per_atom=-2.6394 pbc="T T T"
Ba 0.000 2.461 2.750
Ba 2.461 0.000 8.613
Sn 0.000 0.000 5.682
Hg 0.000 2.461 9.890
Hg 2.461 0.000 1.473
Hg 2.461 2.461 5.682
Au 0.000 0.000 0.000
Au 0.000 2.461 7.108
Au 2.461 0.000 4.255
Au 2.461 2.461 0.000

3
Lattice="-1.558 1.558 5.771 1.558 -1.558 5.771 1.558 1.558 -5.771" Properties=species:S:1:pos:R:3 comment="PBE HoNpC, relaxed" magmom_total_mub_per_cell=3.59 vol_a3_per_atom=18.7 spacegroup="No. 107" relative_energy_mev_per_atom=337 pbc="T T T"
Ho 0.000 0.000 0.000
Np 0.000 0.000 8.789
C 0.000 0.000 4.235

8
Lattice="-3.404 3.404 8.201 3.404 -3.404 8.201 3.404 3.404 -8.201" Properties=species:S:1:pos:R:3 comment="PBE RbMoPb2, relaxed" magmom_total_mub_per_cell=2.02 vol_a3_per_atom=47.5 spacegroup="No. 141" relative_energy_mev_per_atom=0 pbc="T T T"
Rb 3.404 1.702 2.050
Rb 0.000 1.702 6.151
Mo 3.404 -1.702 6.151
Mo 0.000 5.106 2.050
Pb 0.000 0.000 0.000
Pb 1.702 1.702 -4.101
Pb 1.702 -1.702 4.101
Pb 0.000 3.404 0.000

4
Lattice="-2.406 2.819 5.747 2.406 -2.819 5.747 2.406 2.819 -5.747" Properties=species:S:1:pos:R:3 comment="PBE RbTlSbAs, relaxed" raw_formation_energy_ev_per_atom=-0.111 magmom_total_mub_per_cell=0.00 vol_a3_per_atom=39.0 spacegroup="No. 44" pbc="T T T"
Rb 0.000 0.000 0.000
Tl 0.000 0.000 3.887
Sb 0.000 0.000 7.221
As 0.000 2.819 2.709

16
Lattice="2.116 -7.825 0.000 2.116 7.825 0.000 0.000 0.000 8.757" Properties=species:S:1:pos:R:3 comment="PBE Er2Zn5Si, relaxed" raw_formation_energy_ev_per_atom=-0.422 magmom_total_mub_per_cell=0.00 vol_a3_per_atom=18.1 spacegroup="No. 63" pbc="T T T"
Er 0.000 0.000 0.000
Er 0.000 0.000 4.378
Er 2.116 4.739 6.568
Er 2.116 -4.739 2.189
Zn 2.116 4.867 0.930
Zn 2.116 4.867 3.449
Zn 2.116 2.306 0.232
Zn 2.116 2.306 4.146
Zn 2.116 1.580 6.568
Zn 2.116 -1.580 2.189
Zn 2.116 -2.306 4.611
Zn 2.116 -2.306 8.524
Zn 2.116 -4.867 5.308
Zn 2.116 -4.867 7.827
Si 2.116 0.827 2.189
Si 2.116 -0.827 6.568